# ErScCO, relaxed, DFT GGA-PBE
data_ErScCO
_space_group_name_H-M_alt 'I m m 2'
_space_group_IT_number 44
_space_group_name_Hall 'I 2 -2'
_cell_length_a 3.0490
_cell_length_b 3.1313
_cell_length_c 11.4775
_cell_angle_alpha 90.00
_cell_angle_beta 90.00
_cell_angle_gamma 90.00
loop_
_atom_site_label
_atom_site_type_symbol
_atom_site_fract_x
_atom_site_fract_y
_atom_site_fract_z
_atom_site_occupancy
Er1 Er 0.0000 0.0000 0.0000 1
Sc1 Sc 0.0000 0.5000 0.2581 1
C1 C 0.0000 0.5000 0.8350 1
O1 O 0.0000 0.0000 0.5845 1
# Fermi-level density of states = 0.20 states/eV/atom
# Raw formation energy = -1.31 eV/atom
# Spin magnetization = 0.00 μB per formula unit
# Total energy = -7.58 eV/atom

# TbErCO, relaxed, DFT GGA-PBE
data_TbErCO
_space_group_name_H-M_alt 'I m m 2'
_space_group_IT_number 44
_space_group_name_Hall 'I 2 -2'
_cell_length_a 3.1388
_cell_length_b 3.2625
_cell_length_c 11.9346
_cell_angle_alpha 90.00
_cell_angle_beta 90.00
_cell_angle_gamma 90.00
loop_
_atom_site_label
_atom_site_type_symbol
_atom_site_fract_x
_atom_site_fract_y
_atom_site_fract_z
_atom_site_occupancy
Tb1 Tb 0.0000 0.0000 0.0000 1
Er1 Er 0.0000 0.5000 0.2532 1
C1 C 0.0000 0.5000 0.8447 1
O1 O 0.0000 0.0000 0.5920 1
# Fermi-level density of states = 0.28 states/eV/atom
# Raw formation energy = -1.24 eV/atom
# Spin magnetization = 0.00 μB per formula unit
# Total energy = -7.08 eV/atom

# ErTl2C2O6, relaxed, DFT GGA-PBE
data_ErTl2C2O6
_space_group_name_H-M_alt 'C 1 2/m 1'
_space_group_IT_number 12
_space_group_name_Hall '-C 2y'
_cell_length_a 9.3081
_cell_length_b 5.3341
_cell_length_c 8.3186
_cell_angle_alpha 90.00
_cell_angle_beta 114.55
_cell_angle_gamma 90.00
loop_
_atom_site_label
_atom_site_type_symbol
_atom_site_fract_x
_atom_site_fract_y
_atom_site_fract_z
_atom_site_occupancy
Er1 Er 0.0000 0.0000 0.0000 1
Tl1 Tl 0.1792 0.0000 0.5387 1
C1 C 0.1026 0.5000 0.8281 1
O1 O 0.0312 0.2899 0.8243 1
O2 O 0.2418 0.5000 0.8287 1
# Fermi-level density of states = 0.14 states/eV/atom
# Raw formation energy = -1.68 eV/atom
# Spin magnetization = 0.00 μB per formula unit
# Total energy = -6.90 eV/atom

# ErTlC2O6, relaxed, DFT GGA-PBE
data_ErTlC2O6
_space_group_name_H-M_alt 'C 1 2/c 1'
_space_group_IT_number 15
_space_group_name_Hall '-C 2yc'
_cell_length_a 8.7962
_cell_length_b 9.3545
_cell_length_c 7.1811
_cell_angle_alpha 90.00
_cell_angle_beta 111.22
_cell_angle_gamma 90.00
loop_
_atom_site_label
_atom_site_type_symbol
_atom_site_fract_x
_atom_site_fract_y
_atom_site_fract_z
_atom_site_occupancy
Er1 Er 0.0000 0.0939 0.2500 1
Tl1 Tl 0.0000 0.3958 0.7500 1
C1 C 0.2247 0.1274 0.7414 1
O1 O 0.0808 0.1199 0.5956 1
O2 O 0.1732 0.2737 0.2483 1
O3 O 0.2471 0.4729 0.1248 1
# Fermi-level density of states = 0.00 states/eV/atom
# Raw formation energy = -1.94 eV/atom
# Spin magnetization = 0.00 μB per formula unit
# Total energy = -7.45 eV/atom

# ErTmCO, relaxed, DFT GGA-PBE
data_ErTmCO
_space_group_name_H-M_alt 'I m m 2'
_space_group_IT_number 44
_space_group_name_Hall 'I 2 -2'
_cell_length_a 3.1074
_cell_length_b 3.2210
_cell_length_c 11.8034
_cell_angle_alpha 90.00
_cell_angle_beta 90.00
_cell_angle_gamma 90.00
loop_
_atom_site_label
_atom_site_type_symbol
_atom_site_fract_x
_atom_site_fract_y
_atom_site_fract_z
_atom_site_occupancy
Er1 Er 0.0000 0.0000 0.0000 1
Tm1 Tm 0.0000 0.5000 0.2545 1
C1 C 0.0000 0.5000 0.8467 1
O1 O 0.0000 0.0000 0.5917 1
# Fermi-level density of states = 0.26 states/eV/atom
# Raw formation energy = -1.27 eV/atom
# Spin magnetization = 0.00 μB per formula unit
# Total energy = -7.08 eV/atom

# YErCO, relaxed, DFT GGA-PBE
data_YErCO
_space_group_name_H-M_alt 'R 3 m'
_space_group_IT_number 160
_space_group_name_Hall 'R 3 -2"'
_cell_length_a 3.5120
_cell_length_b 3.5120
_cell_length_c 17.0894
_cell_angle_alpha 90.00
_cell_angle_beta 90.00
_cell_angle_gamma 120.00
loop_
_atom_site_label
_atom_site_type_symbol
_atom_site_fract_x
_atom_site_fract_y
_atom_site_fract_z
_atom_site_occupancy
Y1 Y 0.0000 0.0000 0.0000 1
Er1 Er 0.0000 0.0000 0.4939 1
C1 C 0.0000 0.0000 0.7478 1
O1 O 0.0000 0.0000 0.2453 1
# Fermi-level density of states = 0.23 states/eV/atom
# Raw formation energy = -1.75 eV/atom
# Spin magnetization = 0.00 μB per formula unit
# Total energy = -8.05 eV/atom

# ErOs2C, relaxed, DFT GGA-PBE
data_ErOs2C
_space_group_name_H-M_alt 'R -3 m'
_space_group_IT_number 166
_space_group_name_Hall '-R 3 2"'
_cell_length_a 3.2552
_cell_length_b 3.2552
_cell_length_c 20.5393
_cell_angle_alpha 90.00
_cell_angle_beta 90.00
_cell_angle_gamma 120.00
loop_
_atom_site_label
_atom_site_type_symbol
_atom_site_fract_x
_atom_site_fract_y
_atom_site_fract_z
_atom_site_occupancy
Er1 Er 0.0000 0.0000 0.0000 1
Os1 Os 0.0000 0.0000 0.2156 1
C1 C 0.0000 0.0000 0.5000 1
# Formation energy from the elements = 0.600 eV per atom
# Fermi-level density of states = 1.03 states/eV/atom
# Spin magnetization = 0.00 μB per formula unit
# Total energy = -8.46 eV/atom

# Er2Os2C3, relaxed, DFT GGA-PBE
data_Er2Os2C3
_space_group_name_H-M_alt 'C 1 2/m 1'
_space_group_IT_number 12
_space_group_name_Hall '-C 2y'
_cell_length_a 11.3061
_cell_length_b 3.3932
_cell_length_c 5.5861
_cell_angle_alpha 90.00
_cell_angle_beta 113.17
_cell_angle_gamma 90.00
loop_
_atom_site_label
_atom_site_type_symbol
_atom_site_fract_x
_atom_site_fract_y
_atom_site_fract_z
_atom_site_occupancy
Er1 Er 0.1098 0.0000 0.3226 1
Os1 Os 0.1567 0.5000 0.8231 1
C1 C 0.0000 0.5000 0.5000 1
C2 C 0.2500 0.0000 0.7687 1
# Formation energy from the elements = -0.244 eV per atom
# Fermi-level density of states = 0.44 states/eV/atom
# Spin magnetization = 0.00 μB per formula unit
# Total energy = -8.71 eV/atom

# Er2OsC2, relaxed, DFT GGA-PBE
data_Er2OsC2
_space_group_name_H-M_alt 'P n m a'
_space_group_IT_number 62
_space_group_name_Hall '-P 2ac 2n'
_cell_length_a 6.4253
_cell_length_b 5.0702
_cell_length_c 9.7097
_cell_angle_alpha 90.00
_cell_angle_beta 90.00
_cell_angle_gamma 90.00
loop_
_atom_site_label
_atom_site_type_symbol
_atom_site_fract_x
_atom_site_fract_y
_atom_site_fract_z
_atom_site_occupancy
Er1 Er 0.0280 0.2500 0.2189 1
Er2 Er 0.1810 0.2500 0.5531 1
Os1 Os 0.2235 0.2500 0.8662 1
C1 C 0.0406 0.7500 0.2415 1
C2 C 0.1730 0.7500 0.5554 1
# Formation energy from the elements = -0.410 eV per atom
# Fermi-level density of states = 0.47 states/eV/atom
# Spin magnetization = 0.00 μB per formula unit
# Total energy = -8.17 eV/atom

# ErOsC2, relaxed, DFT GGA-PBE
data_ErOsC2
_space_group_name_H-M_alt 'R -3 m'
_space_group_IT_number 166
_space_group_name_Hall '-R 3 2"'
_cell_length_a 3.2861
_cell_length_b 3.2861
_cell_length_c 15.5797
_cell_angle_alpha 90.00
_cell_angle_beta 90.00
_cell_angle_gamma 120.00
loop_
_atom_site_label
_atom_site_type_symbol
_atom_site_fract_x
_atom_site_fract_y
_atom_site_fract_z
_atom_site_occupancy
Er1 Er 0.0000 0.0000 0.0000 1
Os1 Os 0.0000 0.0000 0.5000 1
C1 C 0.0000 0.0000 0.2348 1
# Formation energy from the elements = 0.191 eV per atom
# Fermi-level density of states = 0.24 states/eV/atom
# Spin magnetization = 0.00 μB per formula unit
# Total energy = -8.37 eV/atom

# ErPa2OsC4, relaxed, DFT GGA-PBE
data_ErPa2OsC4
_space_group_name_H-M_alt 'C m c m'
_space_group_IT_number 63
_space_group_name_Hall '-C 2c 2'
_cell_length_a 3.5314
_cell_length_b 11.7191
_cell_length_c 12.0224
_cell_angle_alpha 90.00
_cell_angle_beta 90.00
_cell_angle_gamma 90.00
loop_
_atom_site_label
_atom_site_type_symbol
_atom_site_fract_x
_atom_site_fract_y
_atom_site_fract_z
_atom_site_occupancy
Er1 Er 0.0000 0.1194 0.2500 1
Pa1 Pa 0.0000 0.3664 0.0422 1
Os1 Os 0.0000 0.1451 0.7500 1
C1 C 0.0000 0.0000 0.0000 1
C2 C 0.0000 0.2650 0.6299 1
C3 C 0.0000 0.4383 0.2500 1
# Formation energy from the elements = -0.125 eV per atom
# Fermi-level density of states = 0.61 states/eV/atom
# Spin magnetization = 0.00 μB per formula unit
# Total energy = -9.09 eV/atom

# Tb2ErOsC2, relaxed, DFT GGA-PBE
data_Tb2ErOsC2
_space_group_name_H-M_alt 'P n n m'
_space_group_IT_number 58
_space_group_name_Hall '-P 2 2n'
_cell_length_a 5.5742
_cell_length_b 11.0156
_cell_length_c 3.7121
_cell_angle_alpha 90.00
_cell_angle_beta 90.00
_cell_angle_gamma 90.00
loop_
_atom_site_label
_atom_site_type_symbol
_atom_site_fract_x
_atom_site_fract_y
_atom_site_fract_z
_atom_site_occupancy
Tb1 Tb 0.0504 0.2076 0.0000 1
Er1 Er 0.0000 0.5000 0.5000 1
Os1 Os 0.0000 0.0000 0.5000 1
C1 C 0.2254 0.6160 0.0000 1
# Formation energy from the elements = -0.199 eV per atom
# Fermi-level density of states = 0.68 states/eV/atom
# Spin magnetization = 0.00 μB per formula unit
# Total energy = -7.45 eV/atom

# Er2ThOsC4, relaxed, DFT GGA-PBE
data_Er2ThOsC4
_space_group_name_H-M_alt 'C m c m'
_space_group_IT_number 63
_space_group_name_Hall '-C 2c 2'
_cell_length_a 3.5032
_cell_length_b 12.0610
_cell_length_c 12.0104
_cell_angle_alpha 90.00
_cell_angle_beta 90.00
_cell_angle_gamma 90.00
loop_
_atom_site_label
_atom_site_type_symbol
_atom_site_fract_x
_atom_site_fract_y
_atom_site_fract_z
_atom_site_occupancy
Er1 Er 0.0000 0.1291 0.0403 1
Th1 Th 0.0000 0.4119 0.2500 1
Os1 Os 0.0000 0.3302 0.7500 1
C1 C 0.0000 0.0797 0.2500 1
C2 C 0.0000 0.2324 0.6286 1
C3 C 0.0000 0.5000 0.0000 1
# Formation energy from the elements = -0.113 eV per atom
# Fermi-level density of states = 0.43 states/eV/atom
# Spin magnetization = 0.00 μB per formula unit
# Total energy = -8.20 eV/atom

# Er2TlOsC, relaxed, DFT GGA-PBE
data_Er2TlOsC
_space_group_name_H-M_alt 'P 4/m m m'
_space_group_IT_number 123
_space_group_name_Hall '-P 4 2'
_cell_length_a 4.9920
_cell_length_b 4.9920
_cell_length_c 3.9471
_cell_angle_alpha 90.00
_cell_angle_beta 90.00
_cell_angle_gamma 90.00
loop_
_atom_site_label
_atom_site_type_symbol
_atom_site_fract_x
_atom_site_fract_y
_atom_site_fract_z
_atom_site_occupancy
Er1 Er 0.0000 0.5000 0.0000 1
Tl1 Tl 0.0000 0.0000 0.5000 1
Os1 Os 0.5000 0.5000 0.5000 1
C1 C 0.5000 0.5000 0.0000 1
# Formation energy from the elements = -0.352 eV per atom
# Fermi-level density of states = 0.51 states/eV/atom
# Spin magnetization = 0.00 μB per formula unit
# Total energy = -6.74 eV/atom

# YEr2OsC2, relaxed, DFT GGA-PBE
data_YEr2OsC2
_space_group_name_H-M_alt 'P n n m'
_space_group_IT_number 58
_space_group_name_Hall '-P 2 2n'
_cell_length_a 5.5605
_cell_length_b 10.9451
_cell_length_c 3.6828
_cell_angle_alpha 90.00
_cell_angle_beta 90.00
_cell_angle_gamma 90.00
loop_
_atom_site_label
_atom_site_type_symbol
_atom_site_fract_x
_atom_site_fract_y
_atom_site_fract_z
_atom_site_occupancy
Y1 Y 0.0000 0.0000 0.0000 1
Er1 Er 0.0434 0.2943 0.5000 1
Os1 Os 0.0000 0.5000 0.0000 1
C1 C 0.2306 0.8780 0.5000 1
# Formation energy from the elements = -0.258 eV per atom
# Fermi-level density of states = 0.67 states/eV/atom
# Spin magnetization = 0.00 μB per formula unit
# Total energy = -7.80 eV/atom

# Er2ZnOsC, relaxed, DFT GGA-PBE
data_Er2ZnOsC
_space_group_name_H-M_alt 'P 4/m m m'
_space_group_IT_number 123
_space_group_name_Hall '-P 4 2'
_cell_length_a 4.8928
_cell_length_b 4.8928
_cell_length_c 3.8973
_cell_angle_alpha 90.00
_cell_angle_beta 90.00
_cell_angle_gamma 90.00
loop_
_atom_site_label
_atom_site_type_symbol
_atom_site_fract_x
_atom_site_fract_y
_atom_site_fract_z
_atom_site_occupancy
Er1 Er 0.0000 0.5000 0.0000 1
Zn1 Zn 0.0000 0.0000 0.5000 1
Os1 Os 0.5000 0.5000 0.5000 1
C1 C 0.5000 0.5000 0.0000 1
# Formation energy from the elements = -0.408 eV per atom
# Fermi-level density of states = 0.27 states/eV/atom
# Spin magnetization = 0.00 μB per formula unit
# Total energy = -6.58 eV/atom

# Er4PC2, relaxed, DFT GGA-PBE
data_Er4PC2
_space_group_name_H-M_alt 'C m c m'
_space_group_IT_number 63
_space_group_name_Hall '-C 2c 2'
_cell_length_a 3.7012
_cell_length_b 11.9343
_cell_length_c 12.1489
_cell_angle_alpha 90.00
_cell_angle_beta 90.00
_cell_angle_gamma 90.00
loop_
_atom_site_label
_atom_site_type_symbol
_atom_site_fract_x
_atom_site_fract_y
_atom_site_fract_z
_atom_site_occupancy
Er1 Er 0.0000 0.0000 0.0000 1
Er2 Er 0.0000 0.2662 0.1096 1
Er3 Er 0.0000 0.4402 0.7500 1
P1 P 0.0000 0.1100 0.7500 1
C1 C 0.0000 0.3645 0.5609 1
# Formation energy from the elements = -0.701 eV per atom
# Fermi-level density of states = 0.33 states/eV/atom
# Spin magnetization = 0.81 μB per formula unit
# Total energy = -6.72 eV/atom

# ErPC, relaxed, DFT GGA-PBE
data_ErPC
_space_group_name_H-M_alt 'I 41 m d'
_space_group_IT_number 109
_space_group_name_Hall 'I 4bw -2'
_cell_length_a 4.8261
_cell_length_b 4.8261
_cell_length_c 8.5818
_cell_angle_alpha 90.00
_cell_angle_beta 90.00
_cell_angle_gamma 90.00
loop_
_atom_site_label
_atom_site_type_symbol
_atom_site_fract_x
_atom_site_fract_y
_atom_site_fract_z
_atom_site_occupancy
Er1 Er 0.0000 0.0000 0.0000 1
P1 P 0.0000 0.0000 0.4710 1
C1 C 0.0000 0.0000 0.2598 1
# Formation energy from the elements = 0.142 eV per atom
# Fermi-level density of states = 0.09 states/eV/atom
# Spin magnetization = 0.00 μB per formula unit
# Total energy = -6.26 eV/atom

# Er12P3C5, relaxed, DFT GGA-PBE
data_Er12P3C5
_space_group_name_H-M_alt 'I a -3 d'
_space_group_IT_number 230
_space_group_name_Hall '-I 4bd 2c 3'
_cell_length_a 15.0815
_cell_length_b 15.0815
_cell_length_c 15.0815
_cell_angle_alpha 90.00
_cell_angle_beta 90.00
_cell_angle_gamma 90.00
loop_
_atom_site_label
_atom_site_type_symbol
_atom_site_fract_x
_atom_site_fract_y
_atom_site_fract_z
_atom_site_occupancy
Er1 Er 0.0294 0.0570 0.6507 1
P1 P 0.0000 0.2500 0.1250 1
C1 C 0.0000 0.0000 0.0000 1
C2 C 0.0000 0.2500 0.3750 1
# Formation energy from the elements = -0.522 eV per atom
# Fermi-level density of states = 0.47 states/eV/atom
# Spin magnetization = 0.00 μB per formula unit
# Total energy = -6.38 eV/atom